## a
# BaNb3Tc (PBE, relaxed)
# **Total magnetic moment**: 0.0 μB per formula unit
# **Crystal system**: cubic
data_BaNb3Tc
_chemical_formula_sum 'Ba1 Nb3 Tc1'
_cell_length_a 4.968
_cell_length_b 4.968
_cell_length_c 4.968
_cell_angle_alpha 90.00
_cell_angle_beta 90.00
_cell_angle_gamma 90.00
_space_group_name_H-M_alt 'P 1'
_space_group_IT_number 1
loop_
_space_group_symop_operation_xyz
'x,y,z'
loop_
_atom_site_label
_atom_site_type_symbol
_atom_site_fract_x
_atom_site_fract_y
_atom_site_fract_z
Ba1 Ba 0.000 0.000 0.000
Nb1 Nb 0.000 0.000 0.500
Nb2 Nb 0.000 0.500 0.000
Nb3 Nb 0.500 0.000 0.000
Tc1 Tc 0.500 0.500 0.500

## b
# BaNb3Tc (PBE, relaxed)
# **Total magnetic moment**: 0.0 μB per formula unit
# **Crystal system**: cubic
data_BaNb3Tc
_chemical_formula_sum 'Ba1 Nb3 Tc1'
_cell_length_a 5.005
_cell_length_b 5.005
_cell_length_c 5.005
_cell_angle_alpha 90.00
_cell_angle_beta 90.00
_cell_angle_gamma 90.00
_space_group_name_H-M_alt 'P 1'
_space_group_IT_number 1
loop_
_space_group_symop_operation_xyz
'x,y,z'
loop_
_atom_site_label
_atom_site_type_symbol
_atom_site_fract_x
_atom_site_fract_y
_atom_site_fract_z
Ba1 Ba 0.000 0.000 0.000
Nb1 Nb 0.000 0.500 0.500
Nb2 Nb 0.500 0.000 0.500
Nb3 Nb 0.500 0.500 0.000
Tc1 Tc 0.500 0.500 0.500

Stability summary: most stable b, least stable a.

## a
# BaNbTc3 (PBE, relaxed)
# **Total magnetic moment**: 3.2 μB per formula unit
# **Crystal system**: cubic
data_BaNbTc3
_chemical_formula_sum 'Ba1 Nb1 Tc3'
_cell_length_a 4.934
_cell_length_b 4.934
_cell_length_c 4.934
_cell_angle_alpha 90.00
_cell_angle_beta 90.00
_cell_angle_gamma 90.00
_space_group_name_H-M_alt 'P 1'
_space_group_IT_number 1
loop_
_space_group_symop_operation_xyz
'x,y,z'
loop_
_atom_site_label
_atom_site_type_symbol
_atom_site_fract_x
_atom_site_fract_y
_atom_site_fract_z
Ba1 Ba 0.000 0.000 0.000
Nb1 Nb 0.500 0.500 0.500
Tc1 Tc 0.000 0.500 0.500
Tc2 Tc 0.500 0.000 0.500
Tc3 Tc 0.500 0.500 0.000

## b
# BaNbTc3 (PBE, relaxed)
# **Total magnetic moment**: 0.0 μB per formula unit
# **Crystal system**: cubic
data_BaNbTc3
_chemical_formula_sum 'Ba1 Nb1 Tc3'
_cell_length_a 4.846
_cell_length_b 4.846
_cell_length_c 4.846
_cell_angle_alpha 90.00
_cell_angle_beta 90.00
_cell_angle_gamma 90.00
_space_group_name_H-M_alt 'P 1'
_space_group_IT_number 1
loop_
_space_group_symop_operation_xyz
'x,y,z'
loop_
_atom_site_label
_atom_site_type_symbol
_atom_site_fract_x
_atom_site_fract_y
_atom_site_fract_z
Ba1 Ba 0.000 0.000 0.000
Nb1 Nb 0.500 0.500 0.500
Tc1 Tc 0.000 0.000 0.500
Tc2 Tc 0.000 0.500 0.000
Tc3 Tc 0.500 0.000 0.000

Stability summary: most stable a, least stable b.

## a
# BaNbTe3 (PBE, relaxed)
# **Total magnetic moment**: 0.0 μB per formula unit
# **Crystal system**: cubic
data_BaNbTe3
_chemical_formula_sum 'Ba1 Nb1 Te3'
_cell_length_a 5.543
_cell_length_b 5.543
_cell_length_c 5.543
_cell_angle_alpha 90.00
_cell_angle_beta 90.00
_cell_angle_gamma 90.00
_space_group_name_H-M_alt 'P 1'
_space_group_IT_number 1
loop_
_space_group_symop_operation_xyz
'x,y,z'
loop_
_atom_site_label
_atom_site_type_symbol
_atom_site_fract_x
_atom_site_fract_y
_atom_site_fract_z
Ba1 Ba 0.000 0.000 0.000
Nb1 Nb 0.500 0.500 0.500
Te1 Te 0.000 0.500 0.500
Te2 Te 0.500 0.000 0.500
Te3 Te 0.500 0.500 0.000

## b
# BaNbTe3 (PBE, relaxed)
# **Total magnetic moment**: 1.1 μB per formula unit
# **Crystal system**: cubic
data_BaNbTe3
_chemical_formula_sum 'Ba1 Nb1 Te3'
_cell_length_a 6.336
_cell_length_b 6.336
_cell_length_c 6.336
_cell_angle_alpha 90.00
_cell_angle_beta 90.00
_cell_angle_gamma 90.00
_space_group_name_H-M_alt 'P 1'
_space_group_IT_number 1
loop_
_space_group_symop_operation_xyz
'x,y,z'
loop_
_atom_site_label
_atom_site_type_symbol
_atom_site_fract_x
_atom_site_fract_y
_atom_site_fract_z
Ba1 Ba 0.000 0.000 0.000
Nb1 Nb 0.500 0.500 0.500
Te1 Te 0.000 0.000 0.500
Te2 Te 0.000 0.500 0.000
Te3 Te 0.500 0.000 0.000

Stability summary: most stable a, least stable b.

## a
# BaTiNb3 (PBE, relaxed)
# **Total magnetic moment**: 0.0 μB per formula unit
# **Crystal system**: cubic
data_BaTiNb3
_chemical_formula_sum 'Ba1 Ti1 Nb3'
_cell_length_a 5.036
_cell_length_b 5.036
_cell_length_c 5.036
_cell_angle_alpha 90.00
_cell_angle_beta 90.00
_cell_angle_gamma 90.00
_space_group_name_H-M_alt 'P 1'
_space_group_IT_number 1
loop_
_space_group_symop_operation_xyz
'x,y,z'
loop_
_atom_site_label
_atom_site_type_symbol
_atom_site_fract_x
_atom_site_fract_y
_atom_site_fract_z
Ba1 Ba 0.000 0.000 0.000
Ti1 Ti 0.500 0.500 0.500
Nb1 Nb 0.000 0.000 0.500
Nb2 Nb 0.000 0.500 0.000
Nb3 Nb 0.500 0.000 0.000

## b
# BaTiNb3 (PBE, relaxed)
# **Total magnetic moment**: 1.0 μB per formula unit
# **Crystal system**: cubic
data_BaTiNb3
_chemical_formula_sum 'Ba1 Ti1 Nb3'
_cell_length_a 4.988
_cell_length_b 4.988
_cell_length_c 4.988
_cell_angle_alpha 90.00
_cell_angle_beta 90.00
_cell_angle_gamma 90.00
_space_group_name_H-M_alt 'P 1'
_space_group_IT_number 1
loop_
_space_group_symop_operation_xyz
'x,y,z'
loop_
_atom_site_label
_atom_site_type_symbol
_atom_site_fract_x
_atom_site_fract_y
_atom_site_fract_z
Ba1 Ba 0.000 0.000 0.000
Ti1 Ti 0.500 0.500 0.500
Nb1 Nb 0.000 0.500 0.500
Nb2 Nb 0.500 0.000 0.500
Nb3 Nb 0.500 0.500 0.000

Stability summary: most stable b, least stable a.

## a
# BaTiNb2 (PBE, relaxed)
# **Total magnetic moment**: 0.0 μB per formula unit
# **Crystal system**: tetragonal
data_BaTiNb2
_chemical_formula_sum 'Ba2 Ti2 Nb4'
_cell_length_a 10.206
_cell_length_b 10.206
_cell_length_c 10.206
_cell_angle_alpha 151.22
_cell_angle_beta 151.22
_cell_angle_gamma 41.16
_space_group_name_H-M_alt 'P 1'
_space_group_IT_number 1
loop_
_space_group_symop_operation_xyz
'x,y,z'
loop_
_atom_site_label
_atom_site_type_symbol
_atom_site_fract_x
_atom_site_fract_y
_atom_site_fract_z
Ba1 Ba 0.375 0.625 0.750
Ba2 Ba 0.625 0.375 0.250
Ti1 Ti 0.125 0.875 0.250
Ti2 Ti 0.875 0.125 0.750
Nb1 Nb 0.000 0.000 0.000
Nb2 Nb 0.000 0.000 0.500
Nb3 Nb 0.000 0.500 0.000
Nb4 Nb 0.500 0.000 0.500

## b
# BaTiNb2 (PBE, relaxed)
# **Total magnetic moment**: 0.0 μB per formula unit
# **Crystal system**: cubic
data_BaTiNb2
_chemical_formula_sum 'Ba1 Ti1 Nb2'
_cell_length_a 4.967
_cell_length_b 4.967
_cell_length_c 4.967
_cell_angle_alpha 60.00
_cell_angle_beta 60.00
_cell_angle_gamma 60.00
_space_group_name_H-M_alt 'P 1'
_space_group_IT_number 1
loop_
_space_group_symop_operation_xyz
'x,y,z'
loop_
_atom_site_label
_atom_site_type_symbol
_atom_site_fract_x
_atom_site_fract_y
_atom_site_fract_z
Ba1 Ba 0.000 0.000 0.000
Ti1 Ti 0.500 0.500 0.500
Nb1 Nb 0.250 0.250 0.250
Nb2 Nb 0.750 0.750 0.750

Stability summary: most stable b, least stable a.

## a
# BaTi2Nb (PBE, relaxed)
# **Total magnetic moment**: 0.0 μB per formula unit
# **Crystal system**: cubic
data_BaTi2Nb
_chemical_formula_sum 'Ba1 Ti2 Nb1'
_cell_length_a 4.977
_cell_length_b 4.977
_cell_length_c 4.977
_cell_angle_alpha 60.00
_cell_angle_beta 60.00
_cell_angle_gamma 60.00
_space_group_name_H-M_alt 'P 1'
_space_group_IT_number 1
loop_
_space_group_symop_operation_xyz
'x,y,z'
loop_
_atom_site_label
_atom_site_type_symbol
_atom_site_fract_x
_atom_site_fract_y
_atom_site_fract_z
Ba1 Ba 0.000 0.000 0.000
Ti1 Ti 0.250 0.250 0.250
Ti2 Ti 0.750 0.750 0.750
Nb1 Nb 0.500 0.500 0.500

## b
# BaTi2Nb (PBE, relaxed)
# **Total magnetic moment**: 0.9 μB per formula unit
# **Crystal system**: tetragonal
data_BaTi2Nb
_chemical_formula_sum 'Ba2 Ti4 Nb2'
_cell_length_a 9.484
_cell_length_b 9.484
_cell_length_c 9.484
_cell_angle_alpha 146.98
_cell_angle_beta 146.98
_cell_angle_gamma 47.40
_space_group_name_H-M_alt 'P 1'
_space_group_IT_number 1
loop_
_space_group_symop_operation_xyz
'x,y,z'
loop_
_atom_site_label
_atom_site_type_symbol
_atom_site_fract_x
_atom_site_fract_y
_atom_site_fract_z
Ba1 Ba 0.375 0.625 0.750
Ba2 Ba 0.625 0.375 0.250
Ti1 Ti 0.000 0.000 0.000
Ti2 Ti 0.000 0.000 0.500
Ti3 Ti 0.000 0.500 0.000
Ti4 Ti 0.500 0.000 0.500
Nb1 Nb 0.125 0.875 0.250
Nb2 Nb 0.875 0.125 0.750

Stability summary: most stable a, least stable b.